# 1
A relaxed structure of CuReAg2. Source: Alexandria via LeMat-Bulk, functional PBE.

```
CuReAg2
1.0
2.820 -4.248 0.000
2.820 4.248 0.000
0.000 0.000 2.630
Cu Re Ag
1 1 2
direct
0.000 0.000 0.000
0.500 0.500 0.000
0.000 0.500 0.500
0.500 0.000 0.500
```

Calculated values
* formation energy: 0.5965 eV/atom
* space group: Cmmm (65)
* energy above the lowest structure with this stoichiometry: 236 meV/atom

# 2
A relaxed structure of CuReAg. Source: Alexandria via LeMat-Bulk, functional PBE.

```
CuReAg
1.0
0.000 2.923 2.923
2.923 0.000 2.923
2.923 2.923 0.000
Cu Re Ag
1 1 1
direct
0.000 0.000 0.000
0.750 0.750 0.750
0.250 0.250 0.250
```

Calculated values
* formation energy: 1.2362 eV/atom
* space group: F-43m (216)
* energy above the lowest structure with this stoichiometry: 858 meV/atom

# 3
A relaxed structure of CuReAg2. Source: Alexandria via LeMat-Bulk, functional PBE.

```
CuReAg2
1.0
1.593 -2.163 0.000
1.593 2.163 0.000
0.000 0.000 9.119
Cu Re Ag
1 1 2
direct
0.000 0.000 0.000
0.500 0.500 0.775
0.000 0.000 0.511
0.500 0.500 0.242
```

Calculated values
* formation energy: 0.3849 eV/atom
* space group: Cmm2 (35)
* energy above the lowest structure with this stoichiometry: 25 meV/atom

# 4
A relaxed structure of CuReAg2. Source: Alexandria via LeMat-Bulk, functional PBE.

```
CuReAg2
1.0
0.000 3.164 3.164
3.164 0.000 3.164
3.164 3.164 0.000
Cu Re Ag
1 1 2
direct
0.000 0.000 0.000
0.750 0.750 0.750
0.250 0.250 0.250
0.500 0.500 0.500
```

Calculated values
* formation energy: 0.8456 eV/atom
* space group: F-43m (216)
* energy above the lowest structure with this stoichiometry: 486 meV/atom

formation energy of number 1 (CuReAg2)?
0.5965 eV/atom

Look up the formation energy of the fourth one.
0.8456 eV/atom

Number 2 is which compound?
CuReAg